A plane-wave DFT calculation with GGA-PBE was carried out for crystalline K3Pm3ZrSe8 at its relaxed geometry.

a = 8.4264 Å, b = 8.4264 Å, c = 9.2284 Å
α = 117.18°, β = 90.00°, γ = 120.00°
With the nearest neighbours (Å) after each atom.
Element x y z (fractional)
Se 0.2456 0.0234 0.3013  1 Zr 2.76, 2 Pm 2.96
Se 0.2631 0.5263 0.2896  3 Pm 2.94
Se 0.2223 0.4445 0.6987  1 Zr 2.76, 2 Pm 2.96
Se 0.7777 0.5555 0.3013  1 Zr 2.76, 2 Pm 2.96
Se 0.7778 0.0234 0.3013  1 Zr 2.76, 2 Pm 2.96
Se 0.2222 0.9766 0.6987  1 Zr 2.76, 2 Pm 2.96
Se 0.7544 0.9766 0.6987  1 Zr 2.76, 2 Pm 2.96
Se 0.7369 0.4737 0.7104  3 Pm 2.94
K 0.0000 0.0000 0.0000  6 Se 3.33-3.34
K 0.0000 0.5000 0.0000  6 Se 3.33-3.34
K 0.5000 0.5000 0.0000  6 Se 3.33-3.34
Pm 0.5000 0.5000 0.5000  6 Se 2.94-2.96
Pm 0.5000 0.0000 0.5000  6 Se 2.94-2.96
Pm 0.0000 0.5000 0.5000  6 Se 2.94-2.96
Zr 0.0000 0.0000 0.5000  6 Se 2.76

## Properties
Formation energy without anion corrections: -1669 meV per atom
V: 482 Å³ per cell